Computed, not measured: an optimized crystal structure of Fe3ReH at the PBE level of DFT.

The value obtained for the total energy is -41.00 eV/cell. The density of states at the Fermi level is 0.643 states/eV per atom. The energy above the most stable polymorph in this dataset comes out at 0.00 kcal/mol of atoms.

The space group is Pm-3m (No. 221) and the conventional cell measures 3.6181, 3.6181 and 3.6181 Å, with angles of 90.00, 90.00 and 90.00 degrees. The distinct sites, in fractional coordinates, are Fe at (0.0000, 0.0000, 0.5000), Re at (0.5000, 0.5000, 0.5000) and H at (0.0000, 0.0000, 0.0000).